{"formula": "UV2O8", "functional": "GGA+U", "state": "relaxed", "lattice_angstrom": [[5.8752, 0.0000, 0.0000], [0.0000, 10.8676, 0.0000], [0.0000, 0.0000, 12.1226]], "species": ["O", "O", "O", "O", "O", "O", "O", "O", "O", "O", "O", "O", "O", "O", "O", "O", "O", "O", "O", "O", "O", "O", "O", "O", "O", "O", "O", "O", "O", "O", "O", "O", "V", "V", "V", "V", "V", "V", "V", "V", "U", "U", "U", "U"], "frac_coords": [[0.8306, 0.2174, 0.2500], [0.6373, 0.4709, 0.8667], [0.0682, 0.7371, 0.1121], [0.7003, 0.0027, 0.7500], [0.5682, 0.7629, 0.1121], [0.6611, 0.3472, 0.4326], [0.1694, 0.7826, 0.7500], [0.8627, 0.9709, 0.3667], [0.1373, 0.0291, 0.6333], [0.1611, 0.1528, 0.4326], [0.7997, 0.5027, 0.2500], [0.3627, 0.5291, 0.1333], [0.8627, 0.9709, 0.1333], [0.8389, 0.8472, 0.5674], [0.5682, 0.7629, 0.3879], [0.3389, 0.6528, 0.5674], [0.4318, 0.2371, 0.6121], [0.9318, 0.2629, 0.6121], [0.2997, 0.9973, 0.2500], [0.3389, 0.6528, 0.9326], [0.3306, 0.2826, 0.2500], [0.4318, 0.2371, 0.8879], [0.6373, 0.4709, 0.6333], [0.3627, 0.5291, 0.3667], [0.6694, 0.7174, 0.7500], [0.1373, 0.0291, 0.8667], [0.8389, 0.8472, 0.9326], [0.6611, 0.3472, 0.0674], [0.0682, 0.7371, 0.3879], [0.9318, 0.2629, 0.8879], [0.1611, 0.1528, 0.0674], [0.2003, 0.4973, 0.7500], [0.6663, 0.3324, 0.5710], [0.6663, 0.3324, 0.9290], [0.8337, 0.8324, 0.4290], [0.8337, 0.8324, 0.0710], [0.3337, 0.6676, 0.0710], [0.1663, 0.1676, 0.5710], [0.3337, 0.6676, 0.4290], [0.1663, 0.1676, 0.9290], [0.9342, 0.8964, 0.7500], [0.0658, 0.1036, 0.2500], [0.5658, 0.3964, 0.2500], [0.4342, 0.6036, 0.7500]], "relative_energy_ev_per_fu": 0.00, "rho_g_cm3": 4.02, "total_energy_ev_per_fu": -90.9}